The following is a DFT calculation (GGA+U) of an optimized crystal structure of Ba3Be2FeO6.

Values from the calculation:
DFT total energy ... -6.385 eV per atom
Total magnetization ... 4.00 μB per formula unit

Cell lengths 5.756, 5.756, 6.707 Å; angles 90.00, 90.00, 120.00 degrees
Sites, in units of the cell vectors:
Ba 0.000 0.000 0.000
Ba 0.333 0.667 0.678
Ba 0.667 0.333 0.322
Be 0.333 0.667 0.273
Be 0.667 0.333 0.727
Fe 0.000 0.000 0.500
O 0.179 0.358 0.298
O 0.179 0.821 0.298
O 0.358 0.179 0.702
O 0.642 0.821 0.298
O 0.821 0.179 0.702
O 0.821 0.642 0.702